Material: Ho6ScZn2
Method: DFT, GGA-PBE
State: optimized geometry

Lattice parameters (Å, degrees): 3.559 6.365 11.298 76.25 80.94 73.77
Fractional coordinates of all 9 atoms:
Ho1 0.687 0.504 0.122
Ho2 0.027 0.272 0.674
Ho3 0.313 0.496 0.878
Ho4 0.315 0.779 0.591
Ho5 0.973 0.728 0.326
Ho6 0.685 0.221 0.409
Zn1 0.357 0.096 0.190
Zn2 0.643 0.904 0.810
Sc1 0.000 0.000 0.000



Material: Ho2ScZn2
Method: DFT, GGA-PBE
State: optimized geometry

Lattice parameters (Å, degrees): 3.767 6.103 6.103 65.17 72.03 72.03
Fractional coordinates of all 5 atoms:
Sc1 0.000 0.000 0.000
Zn1 0.500 0.696 0.304
Zn2 0.500 0.304 0.696
Ho1 0.787 0.713 0.713
Ho2 0.213 0.287 0.287

Properties
* E above lowest polymorph: 64 meV per atom



Material: HoSc4Zn5
Method: DFT, GGA-PBE
State: optimized geometry

Lattice parameters (Å, degrees): 3.387 3.387 16.996 90.00 90.00 90.00
Fractional coordinates of all 10 atoms:
Zn1 0.500 0.500 0.695
Zn2 0.500 0.500 0.500
Zn3 0.500 0.500 0.888
Zn4 0.500 0.500 0.305
Zn5 0.500 0.500 0.112
Ho1 0.000 0.000 0.000
Sc1 0.000 0.000 0.597
Sc2 0.000 0.000 0.793
Sc3 0.000 0.000 0.403
Sc4 0.000 0.000 0.207



Material: Ho2ScZn6
Method: DFT, GGA-PBE
State: optimized geometry

Lattice parameters (Å, degrees): 3.390 7.672 7.672 120.00 90.00 90.00
Fractional coordinates of all 9 atoms:
Ho1 0.000 0.667 0.333
Ho2 0.000 0.333 0.667
Zn1 0.500 0.329 0.000
Zn2 0.500 0.671 0.000
Zn3 0.500 0.000 0.329
Zn4 0.500 0.000 0.671
Zn5 0.500 0.329 0.329
Zn6 0.500 0.671 0.671
Sc1 0.000 0.000 0.000



Number 1: formation energy from the elements -0.130 eV per atom. Number 2: formation energy from the elements -0.186 eV per atom. Number 3: formation energy from the elements -0.362 eV per atom. Number 4: formation energy from the elements -0.364 eV per atom.